*one*
# SiTe2C (PBE-GGA, optimized geometry)
# - Spin magnetization: 0.000 μB per formula unit
# - Crystal system: trigonal
data_SiTe2C
_chemical_formula_sum 'Si3 Te6 C3'
_cell_length_a 3.3078
_cell_length_b 3.3078
_cell_length_c 26.7932
_cell_angle_alpha 90.00
_cell_angle_beta 90.00
_cell_angle_gamma 120.00
_space_group_name_H-M_alt 'R -3 m'
_space_group_IT_number 166
_space_group_name_Hall '-R 3 2"'
loop_
_atom_site_label
_atom_site_type_symbol
_atom_site_fract_x
_atom_site_fract_y
_atom_site_fract_z
Si1 Si 0.0000 0.0000 0.0000
Te1 Te 0.0000 0.0000 0.1077
C1 C 0.0000 0.0000 0.5000


*two*
# SiTe2C (PBE-GGA, optimized geometry)
# - Spin magnetization: 0.000 μB per formula unit
# - Crystal system: cubic
data_SiTe2C
_chemical_formula_sum 'Si4 Te8 C4'
_cell_length_a 6.7420
_cell_length_b 6.7420
_cell_length_c 6.7420
_cell_angle_alpha 90.00
_cell_angle_beta 90.00
_cell_angle_gamma 90.00
_space_group_name_H-M_alt 'F m -3 m'
_space_group_IT_number 225
_space_group_name_Hall '-F 4 2 3'
loop_
_atom_site_label
_atom_site_type_symbol
_atom_site_fract_x
_atom_site_fract_y
_atom_site_fract_z
Si1 Si 0.0000 0.0000 0.0000
Te1 Te 0.2500 0.2500 0.2500
C1 C 0.0000 0.0000 0.5000


Relative energy of each structure, in meV per atom: *one* 0; *two* 271.


*one*
# Si3TeC (PBE-GGA, optimized geometry)
# - Spin magnetization: 0.000 μB per formula unit
# - Crystal system: cubic
data_Si3TeC
_chemical_formula_sum 'Si3 Te1 C1'
_cell_length_a 4.2803
_cell_length_b 4.2803
_cell_length_c 4.2803
_cell_angle_alpha 90.00
_cell_angle_beta 90.00
_cell_angle_gamma 90.00
_space_group_name_H-M_alt 'P m -3 m'
_space_group_IT_number 221
_space_group_name_Hall '-P 4 2 3'
loop_
_atom_site_label
_atom_site_type_symbol
_atom_site_fract_x
_atom_site_fract_y
_atom_site_fract_z
Si1 Si 0.0000 0.0000 0.5000
Te1 Te 0.5000 0.5000 0.5000
C1 C 0.0000 0.0000 0.0000


*two*
# Si3TeC (PBE-GGA, optimized geometry)
# - Spin magnetization: 0.662 μB per formula unit
# - Crystal system: cubic
data_Si3TeC
_chemical_formula_sum 'Si3 Te1 C1'
_cell_length_a 5.2163
_cell_length_b 5.2163
_cell_length_c 5.2163
_cell_angle_alpha 90.00
_cell_angle_beta 90.00
_cell_angle_gamma 90.00
_space_group_name_H-M_alt 'P m -3 m'
_space_group_IT_number 221
_space_group_name_Hall '-P 4 2 3'
loop_
_atom_site_label
_atom_site_type_symbol
_atom_site_fract_x
_atom_site_fract_y
_atom_site_fract_z
Si1 Si 0.0000 0.0000 0.5000
Te1 Te 0.0000 0.0000 0.0000
C1 C 0.5000 0.5000 0.5000


Relative energy of each structure, in meV per atom: *one* 0; *two* 1690.